(1)
Material: CsTcMo
Method: DFT, PBE-GGA
State: relaxed

Values from the calculation:
Crystal system: triclinic
Density of states at the Fermi level (states/eV per cell): 5.5
Symmetry: P1
Energy relative to the elements (eV per formula unit): 2.5
Volume (Å³ per cell): 201.7
Density (Mg/m³): 5.381

Unit cell a=3.289 b=4.980 c=13.239 alpha=98.82 beta=91.16 gamma=109.28
Atoms (fractional coordinates):
Cs1 0.000 0.000 0.000
Cs2 0.285 0.667 0.376
Tc1 0.324 0.684 0.754
Tc2 0.625 0.284 0.777
Mo1 0.634 0.329 0.603
Mo2 0.934 0.923 0.645

---

(2)
Material: AgBP2Cl
Method: DFT, PBE-GGA
State: relaxed

Values from the calculation:
E_form (uncorrected) (eV per atom): 0.626
Crystal system: tetragonal
Density of states at the Fermi level (states/eV per cell): 2.8
Symmetry: P4/mmm
Volume (Å³ per cell): 111.4
Density (Mg/m³): 3.221

Unit cell a=3.844 b=3.844 c=7.540 alpha=90.00 beta=90.00 gamma=90.00
Atoms (fractional coordinates):
Ag1 0.000 0.000 0.000
B1 0.500 0.500 0.500
P1 0.000 0.500 0.500
P2 0.500 0.000 0.500
Cl1 0.500 0.500 0.000

---

(3)
Material: SrLiP2
Method: DFT, PBE-GGA
State: relaxed

Values from the calculation:
Crystal system: orthorhombic
Density of states at the Fermi level (states/eV per cell): 1.5
Symmetry: Cmmm
Energy relative to the elements (eV per formula unit): -1.4
Volume (Å³ per cell): 83.3
Density (Mg/m³): 3.118

Unit cell a=5.040 b=5.040 c=3.445 alpha=90.00 beta=90.00 gamma=107.75
Atoms (fractional coordinates):
Sr1 0.000 0.000 0.000
Li1 0.500 0.500 0.000
P1 0.000 0.500 0.500
P2 0.500 0.000 0.500

---

(4)
Material: HfTcHg2
Method: DFT, PBE-GGA
State: relaxed

Values from the calculation:
Crystal system: tetragonal
Density of states at the Fermi level (states/eV per cell): 7.7
Symmetry: I-42d
Energy relative to the elements (eV per formula unit): 1.8
Volume (Å³ per cell): 166.8
Density (Mg/m³): 13.494

Unit cell a=10.830 b=10.830 c=10.830 alpha=158.75 beta=158.75 gamma=30.23
Atoms (fractional coordinates):
Hf1 0.000 0.000 0.000
Hf2 0.750 0.250 0.500
Tc1 0.250 0.750 0.500
Tc2 0.500 0.500 0.000
Hg1 0.135 0.625 0.010
Hg2 0.375 0.385 0.510
Hg3 0.615 0.125 0.990
Hg4 0.875 0.865 0.490